Entry 1:
Material: TiHgIN2
Method: DFT, PBE
State: optimized geometry

Lattice parameters (Å, degrees): 4.165 4.165 6.045 90.00 90.00 90.00
Positions (direct):
I 0.000 0.000 0.500
N 0.000 0.500 0.000
N 0.500 0.000 0.000
Hg 0.000 0.000 0.000
Ti 0.500 0.500 0.500

**DOS(E_F)**: 1.44 states/eV/atom
**Relative energy among the computed polymorphs**: 150.33 kJ per mole of atoms
**Total magnetization**: 0.01 μB per formula unit
**Space-group type**: P4/mmm, No. 123
**E**: -3.28 eV per atom
**Uncorrected formation energy**: 2.002 eV per atom

Entry 2:
Material: Nb2IF2
Method: DFT, PBE
State: optimized geometry

Lattice parameters (Å, degrees): 7.379 7.379 3.385 90.00 90.00 90.00
Positions (direct):
I 0.000 0.000 0.000
I 0.500 0.500 0.000
Nb 0.384 0.884 0.000
Nb 0.884 0.616 0.000
Nb 0.616 0.116 0.000
Nb 0.116 0.384 0.000
F 0.120 0.620 0.500
F 0.620 0.880 0.500
F 0.880 0.380 0.500
F 0.380 0.120 0.500

**DOS(E_F)**: 0.54 states/eV/atom
**Relative energy among the computed polymorphs**: 32.92 kJ per mole of atoms
**Total magnetization**: 0.00 μB per formula unit
**Space-group type**: P4/mbm, No. 127
**E**: -5.55 eV per atom
**Uncorrected formation energy**: -0.462 eV per atom

Entry 3:
Material: Cr2CdTc
Method: DFT, PBE
State: optimized geometry

Lattice parameters (Å, degrees): 3.824 2.785 6.017 69.64 90.00 90.00
Positions (direct):
Cd 0.500 0.751 0.756
Cr 0.000 0.037 0.056
Cr 0.500 0.236 0.244
Tc 0.000 0.477 0.444

**DOS(E_F)**: 0.95 states/eV/atom
**Formation energy**: 0.412 eV per atom
**Total magnetization**: 0.32 μB per formula unit
**Space-group type**: Pm, No. 6
**E**: -7.22 eV per atom

Entry 4:
Material: La2Pm4Y2Ho
Method: DFT, PBE
State: optimized geometry

Lattice parameters (Å, degrees): 3.678 9.696 9.753 115.19 90.00 100.93
Positions (direct):
La 0.335 0.670 0.000
La 0.665 0.330 0.000
Pm 0.814 0.629 0.665
Pm 0.186 0.371 0.335
Pm 0.519 0.038 0.334
Pm 0.481 0.962 0.666
Y 0.853 0.706 0.335
Y 0.147 0.294 0.665
Ho 0.000 0.000 0.000

**DOS(E_F)**: 1.41 states/eV/atom
**Formation energy**: 0.005 eV per atom
**Total magnetization**: 0.00 μB per formula unit
**Space-group type**: C2/m, No. 12
**E**: -5.15 eV per atom